# 1
A plane-wave DFT calculation with GGA-PBE was carried out for a geometry-optimized Tb5Pm12Er2 structure.

Cell and atoms, written as POSCAR:
```
Tb5Pm12Er2
1.0
11.7178 0.0000 0.0000
-5.8589 8.9002 0.9295
0.0000 -1.9906 5.8998
Tb Pm Er
5 12 2
Cartesian
0.0000 2.7375 3.6692
5.8589 1.4401 5.4010
5.8589 4.1721 3.1602
0.0000 -0.9953 2.9499
0.0000 5.4695 1.4284
2.9274 6.3001 2.9965
0.0000 2.1270 0.2272
8.7863 0.6095 3.8328
2.8543 3.8032 5.2916
2.9315 0.6095 3.8328
3.0046 3.1064 1.5378
-2.9274 6.3001 2.9965
-2.8543 3.8032 5.2916
0.0000 6.4750 5.1118
8.7132 3.1064 1.5378
5.8589 0.4346 1.7176
5.8589 4.7826 6.6022
2.7029 0.0000 0.0000
9.0149 0.0000 0.0000
```

Properties
DFT formation energy   0.099 eV per atom
V   33.5 Å³/atom
Energy above the lowest structure with this stoichiometry   0.000 eV per atom

# 2
A plane-wave DFT calculation with GGA-PBE was carried out for a geometry-optimized TbPm4Er5 structure.

Cell and atoms, written as POSCAR:
```
TbPm4Er5
1.0
3.4482 -0.0003 -0.6993
-0.1189 11.1541 -0.5806
-0.0214 0.4405 8.7186
Er Pm Tb
5 4 1
Cartesian
2.7839 5.3121 4.8562
2.8295 0.8616 5.0766
1.6646 5.5769 -0.6399
0.5240 6.2822 2.5825
0.4784 10.7326 2.3621
0.0164 8.3838 0.0869
2.2248 2.9239 2.1182
1.0831 8.6704 5.3205
3.2914 3.2105 7.3518
1.7241 -0.0001 -0.3497
```

Properties
DFT formation energy   0.193 eV per atom
V   33.6 Å³/atom
Energy above the lowest structure with this stoichiometry   0.000 eV per atom